1.
Here is an optimized crystal structure of TlTc4O12 from Alexandria. Energies are from GGA-PBE.

Summary:
**Space-group type**: No. 229
**Formation energy without anion corrections**: -1220 meV per atom
**Size of the total moment**: 0.000 μB/atom

Lattice parameters (Å, degrees): 6.6545 6.6545 6.6545 109.47 109.47 109.47
With the nearest neighbours (Å) after each atom.
Fractional positions:
Tl1 0.0000 0.0000 0.0000  12 O 2.71
Tc1 0.0000 0.0000 0.5000  6 O 1.92
Tc2 0.0000 0.5000 0.0000  6 O 1.92
Tc3 0.5000 0.0000 0.0000  6 O 1.92
Tc4 0.5000 0.5000 0.5000  6 O 1.92
O1 0.0000 0.2496 0.7504  2 Tc 1.92
O2 0.0000 0.7504 0.2496  2 Tc 1.92
O3 0.2496 0.0000 0.7504  2 Tc 1.92
O4 0.2496 0.2496 0.4993  2 Tc 1.92
O5 0.2496 0.4993 0.2496  2 Tc 1.92
O6 0.2496 0.7504 0.0000  2 Tc 1.92
O7 0.4993 0.2496 0.2496  2 Tc 1.92
O8 0.5007 0.7504 0.7504  2 Tc 1.92
O9 0.7504 0.0000 0.2496  2 Tc 1.92
O10 0.7504 0.2496 0.0000  2 Tc 1.92
O11 0.7504 0.5007 0.7504  2 Tc 1.92
O12 0.7504 0.7504 0.5007  2 Tc 1.92

***

2.
Here is an optimized crystal structure of Tm3Tl3TcO8 from Alexandria. Energies are from GGA-PBE.

Summary:
**Space-group type**: No. 166
**Formation energy without anion corrections**: -2191 meV per atom
**Size of the total moment**: 0.200 μB/atom

Lattice parameters (Å, degrees): 7.6140 7.6140 7.6140 52.26 52.26 52.26
With the nearest neighbours (Å) after each atom.
Fractional positions:
Tm1 0.0000 0.5000 0.5000  6 O 2.22-2.27
Tm2 0.5000 0.0000 0.5000  6 O 2.22-2.27
Tm3 0.5000 0.5000 0.0000  6 O 2.22-2.27
Tl1 0.0000 0.0000 0.5000  6 O 2.90-2.93
Tl2 0.0000 0.5000 0.0000  6 O 2.90-2.93
Tl3 0.5000 0.0000 0.0000  6 O 2.90-2.93
Tc1 0.0000 0.0000 0.0000  6 O 2.10
O1 0.2097 0.2097 0.7433  1 Tc 2.10, 2 Tm 2.27
O2 0.2097 0.7433 0.2097  1 Tc 2.10, 2 Tm 2.27
O3 0.2567 0.7903 0.7903  1 Tc 2.10, 2 Tm 2.27
O4 0.2782 0.2782 0.2782  3 Tm 2.22
O5 0.7218 0.7218 0.7218  3 Tm 2.22
O6 0.7433 0.2097 0.2097  1 Tc 2.10, 2 Tm 2.27
O7 0.7903 0.2567 0.7903  1 Tc 2.10, 2 Tm 2.27
O8 0.7903 0.7903 0.2567  1 Tc 2.10, 2 Tm 2.27

***

3.
Here is an optimized crystal structure of TmTlTc2O8 from Alexandria. Energies are from GGA-PBE.

Summary:
**Space-group type**: No. 164
**Formation energy without anion corrections**: -1772 meV per atom
**Size of the total moment**: 0.169 μB/atom

Lattice parameters (Å, degrees): 5.9746 5.9746 7.7296 90.00 90.00 120.00
With the nearest neighbours (Å) after each atom.
Fractional positions:
Tm1 0.0000 0.0000 0.0000  6 O 2.21
Tl1 0.0000 0.0000 0.5000  6 O 3.07
Tc1 0.3333 0.6667 0.2518  4 O 1.75-1.80
Tc2 0.6667 0.3333 0.7482  4 O 1.75-1.80
O1 0.1694 0.3389 0.1739  1 Tc 1.80
O2 0.1694 0.8306 0.1739  1 Tc 1.80
O3 0.3333 0.6667 0.4776  1 Tc 1.75
O4 0.3389 0.1694 0.8261  1 Tc 1.80
O5 0.6611 0.8306 0.1739  1 Tc 1.80
O6 0.6667 0.3333 0.5224  1 Tc 1.75
O7 0.8306 0.1694 0.8261  1 Tc 1.80
O8 0.8306 0.6611 0.8261  1 Tc 1.80

***

4.
Here is an optimized crystal structure of UTl2TcO6 from Alexandria. Energies are from GGA-PBE.

Summary:
**Space-group type**: No. 12
**Formation energy without anion corrections**: -1735 meV per atom
**Size of the total moment**: 0.102 μB/atom

Lattice parameters (Å, degrees): 6.8547 6.8547 5.1950 104.96 104.96 50.83
With the nearest neighbours (Å) after each atom.
Fractional positions:
U1 0.0000 0.0000 0.0000  2 O 1.89
Tl1 0.2809 0.2809 0.7757  5 O 2.82-3.07
Tl2 0.7191 0.7191 0.2243  5 O 2.82-3.07
Tc1 0.5000 0.5000 0.5000  4 O 1.88
O1 0.1486 0.1486 0.2338  1 U 1.89
O2 0.2200 0.6736 0.2385  1 Tc 1.88
O3 0.3264 0.7800 0.7615  1 Tc 1.88
O4 0.6736 0.2200 0.2385  1 Tc 1.88
O5 0.7800 0.3264 0.7615  1 Tc 1.88
O6 0.8514 0.8514 0.7662  1 U 1.89

***

5.
Here is an optimized crystal structure of UTlTc2O8 from Alexandria. Energies are from GGA-PBE.

Summary:
**Space-group type**: No. 147
**Formation energy without anion corrections**: -1726 meV per atom
**Size of the total moment**: 0.415 μB/atom

Lattice parameters (Å, degrees): 5.9809 5.9809 7.8170 90.00 90.00 120.00
With the nearest neighbours (Å) after each atom.
Fractional positions:
U1 0.0000 0.0000 0.0000  6 O 2.17
Tl1 0.0000 0.0000 0.5000  12 O 3.12-3.46
Tc1 0.3333 0.6667 0.2579  4 O 1.74-1.86
Tc2 0.6667 0.3333 0.7421  4 O 1.74-1.86
O1 0.1573 0.3347 0.1678  1 Tc 1.86
O2 0.1774 0.8427 0.1678  1 Tc 1.86
O3 0.3333 0.6667 0.4804  1 Tc 1.74
O4 0.3347 0.1774 0.8322  1 Tc 1.86
O5 0.6653 0.8226 0.1678  1 Tc 1.86
O6 0.6667 0.3333 0.5196  1 Tc 1.74
O7 0.8226 0.1573 0.8322  1 Tc 1.86
O8 0.8427 0.6653 0.8322  1 Tc 1.86

***

Question: Among the records above, which one has the lowest formation energy without anion corrections?
Answer: Tm3Tl3TcO8

***

Question: Number 5 is which compound?
Answer: UTlTc2O8